# 1
Density functional theory data (GGA-PBE) for Tm2In5Pd3 after structural relaxation.

Unit cell a=13.528 b=13.528 c=7.354 alpha=90.00 beta=90.00 gamma=161.19
Atoms (fractional coordinates):
Tm 0.023 0.977 0.500
Tm 0.323 0.677 0.602
Tm 0.677 0.323 0.102
Tm 0.977 0.023 0.000
In 0.097 0.903 0.883
In 0.207 0.793 0.398
In 0.207 0.793 0.810
In 0.376 0.624 0.034
In 0.446 0.554 0.665
In 0.554 0.446 0.165
In 0.624 0.376 0.534
In 0.793 0.207 0.310
In 0.793 0.207 0.898
In 0.903 0.097 0.383
Pd 0.111 0.889 0.268
Pd 0.271 0.729 0.105
Pd 0.457 0.543 0.277
Pd 0.543 0.457 0.777
Pd 0.729 0.271 0.605
Pd 0.889 0.111 0.768

Formation enthalpy at 0 K, eV per atom: -0.60

=====

# 2
Density functional theory data (GGA-PBE) for VSiB2 after structural relaxation.

Unit cell a=5.566 b=5.566 c=5.383 alpha=90.00 beta=90.00 gamma=90.00
Atoms (fractional coordinates):
V 0.000 0.000 0.000
V 0.000 0.500 0.250
V 0.500 0.000 0.750
V 0.500 0.500 0.500
Si 0.000 0.000 0.500
Si 0.000 0.500 0.750
Si 0.500 0.000 0.250
Si 0.500 0.500 0.000
B 0.225 0.250 0.625
B 0.250 0.725 0.875
B 0.250 0.775 0.375
B 0.275 0.250 0.125
B 0.725 0.750 0.125
B 0.750 0.225 0.375
B 0.750 0.275 0.875
B 0.775 0.750 0.625

Raw formation energy, meV per atom: 447.5

=====

# 3
Density functional theory data (GGA-PBE) for BaAg5Hg after structural relaxation.

Unit cell a=9.223 b=6.038 c=11.654 alpha=90.00 beta=90.00 gamma=90.00
Atoms (fractional coordinates):
Ba 0.236 0.250 0.062
Ba 0.264 0.750 0.562
Ba 0.736 0.250 0.438
Ba 0.764 0.750 0.938
Ag 0.063 0.007 0.311
Ag 0.063 0.493 0.311
Ag 0.076 0.750 0.102
Ag 0.098 0.250 0.520
Ag 0.181 0.250 0.759
Ag 0.319 0.750 0.259
Ag 0.402 0.750 0.020
Ag 0.424 0.250 0.602
Ag 0.437 0.507 0.811
Ag 0.437 0.993 0.811
Ag 0.563 0.007 0.189
Ag 0.563 0.493 0.189
Ag 0.576 0.750 0.398
Ag 0.598 0.250 0.980
Ag 0.681 0.250 0.741
Ag 0.819 0.750 0.241
Ag 0.902 0.750 0.480
Ag 0.924 0.250 0.898
Ag 0.937 0.507 0.689
Ag 0.937 0.993 0.689
Hg 0.144 0.750 0.860
Hg 0.356 0.250 0.360
Hg 0.644 0.750 0.640
Hg 0.856 0.250 0.140

Formation enthalpy at 0 K, eV per atom: -0.16

=====

# 4
Density functional theory data (GGA-PBE) for Ca2OsW after structural relaxation.

Unit cell a=6.992 b=6.992 c=6.992 alpha=90.00 beta=90.00 gamma=90.00
Atoms (fractional coordinates):
Ca 0.250 0.250 0.250
Ca 0.250 0.250 0.750
Ca 0.250 0.750 0.250
Ca 0.250 0.750 0.750
Ca 0.750 0.250 0.250
Ca 0.750 0.250 0.750
Ca 0.750 0.750 0.250
Ca 0.750 0.750 0.750
Os 0.000 0.000 0.000
Os 0.000 0.500 0.500
Os 0.500 0.000 0.500
Os 0.500 0.500 0.000
W 0.000 0.000 0.500
W 0.000 0.500 0.000
W 0.500 0.000 0.000
W 0.500 0.500 0.500

Formation enthalpy at 0 K, eV per atom: 1.29

=====

# 5
Density functional theory data (GGA-PBE) for Pu2Ge3Pt5 after structural relaxation.

Unit cell a=8.600 b=8.600 c=8.600 alpha=97.76 beta=95.05 gamma=140.97
Atoms (fractional coordinates):
Pu 0.135 0.234 0.369
Pu 0.365 0.734 0.099
Pu 0.635 0.266 0.901
Pu 0.865 0.766 0.631
Ge 0.134 0.880 0.014
Ge 0.250 0.750 0.500
Ge 0.366 0.380 0.745
Ge 0.634 0.620 0.255
Ge 0.750 0.250 0.500
Ge 0.866 0.120 0.986
Pt 0.018 0.750 0.268
Pt 0.099 0.667 0.766
Pt 0.250 0.250 0.000
Pt 0.401 0.167 0.568
Pt 0.482 0.750 0.732
Pt 0.518 0.250 0.268
Pt 0.599 0.833 0.432
Pt 0.750 0.750 0.000
Pt 0.901 0.333 0.234
Pt 0.982 0.250 0.732

Energy above the lowest structure with this stoichiometry, meV per atom: 0
Formation enthalpy at 0 K, eV per atom: -0.69

=====

# 6
Density functional theory data (GGA-PBE) for CeSm2CrN4 after structural relaxation.

Unit cell a=6.086 b=6.086 c=11.964 alpha=90.00 beta=90.00 gamma=147.17
Atoms (fractional coordinates):
Ce 0.100 0.900 0.750
Ce 0.900 0.100 0.250
Sm 0.368 0.632 0.544
Sm 0.368 0.632 0.956
Sm 0.632 0.368 0.044
Sm 0.632 0.368 0.456
Cr 0.166 0.834 0.250
Cr 0.834 0.166 0.750
N 0.000 0.000 0.000
N 0.000 0.000 0.500
N 0.272 0.728 0.135
N 0.272 0.728 0.365
N 0.424 0.576 0.750
N 0.576 0.424 0.250
N 0.728 0.272 0.635
N 0.728 0.272 0.865

Raw formation energy, meV per atom: -1124.2

=====

# 7
Density functional theory data (GGA-PBE) for TiPd6Au8 after structural relaxation.

Unit cell a=7.599 b=7.599 c=5.596 alpha=90.00 beta=90.00 gamma=120.00
Atoms (fractional coordinates):
Ti 0.000 0.000 0.000
Pd 0.029 0.694 0.868
Pd 0.306 0.335 0.868
Pd 0.335 0.029 0.132
Pd 0.665 0.971 0.868
Pd 0.694 0.665 0.132
Pd 0.971 0.306 0.132
Au 0.023 0.681 0.374
Au 0.319 0.342 0.374
Au 0.333 0.667 0.106
Au 0.342 0.023 0.626
Au 0.658 0.977 0.374
Au 0.667 0.333 0.894
Au 0.681 0.658 0.626
Au 0.977 0.319 0.626

Formation enthalpy at 0 K, eV per atom: -0.07

=====

# 8
Density functional theory data (GGA-PBE) for SrZn2Fe after structural relaxation.

Unit cell a=3.328 b=3.328 c=7.068 alpha=90.00 beta=90.00 gamma=90.00
Atoms (fractional coordinates):
Sr 0.000 0.000 0.000
Zn 0.500 0.500 0.322
Zn 0.500 0.500 0.678
Fe 0.000 0.000 0.500

Formation enthalpy at 0 K, eV per atom: 0.16

=====

# 9
Density functional theory data (GGA-PBE) for Be4Ge3BiO12 after structural relaxation.

Unit cell a=6.163 b=6.163 c=6.163 alpha=105.99 beta=105.99 gamma=105.99
Atoms (fractional coordinates):
Be 0.000 0.000 0.000
Be 0.000 0.437 0.563
Be 0.437 0.563 0.000
Be 0.563 0.000 0.437
Ge 0.064 0.936 0.500
Ge 0.500 0.064 0.936
Ge 0.936 0.500 0.064
Bi 0.500 0.500 0.500
O 0.000 0.593 0.407
O 0.000 0.842 0.158
O 0.143 0.267 0.538
O 0.158 0.000 0.842
O 0.267 0.538 0.143
O 0.407 0.000 0.593
O 0.462 0.733 0.857
O 0.538 0.143 0.267
O 0.593 0.407 0.000
O 0.733 0.857 0.462
O 0.842 0.158 0.000
O 0.857 0.462 0.733

Raw formation energy, meV per atom: -1865.1

=====

# 10
Density functional theory data (GGA-PBE) for HoPa4P6 after structural relaxation.

Unit cell a=7.750 b=7.750 c=7.750 alpha=89.39 beta=89.39 gamma=89.39
Atoms (fractional coordinates):
Ho 0.000 0.000 0.000
Ho 0.500 0.500 0.500
Pa 0.135 0.750 0.365
Pa 0.250 0.250 0.250
Pa 0.250 0.635 0.865
Pa 0.365 0.135 0.750
Pa 0.635 0.865 0.250
Pa 0.750 0.365 0.135
Pa 0.750 0.750 0.750
Pa 0.865 0.250 0.635
P 0.065 0.914 0.674
P 0.086 0.326 0.935
P 0.174 0.414 0.565
P 0.326 0.935 0.086
P 0.414 0.565 0.174
P 0.435 0.826 0.586
P 0.565 0.174 0.414
P 0.586 0.435 0.826
P 0.674 0.065 0.914
P 0.826 0.586 0.435
P 0.914 0.674 0.065
P 0.935 0.086 0.326

Formation enthalpy at 0 K, eV per atom: -1.09

=====

# 11
Density functional theory data (GGA-PBE) for TlInOs2 after structural relaxation.

Unit cell a=7.619 b=7.619 c=5.413 alpha=90.00 beta=90.00 gamma=90.00
Atoms (fractional coordinates):
Tl 0.000 0.000 0.000
Tl 0.000 0.500 0.250
Tl 0.500 0.000 0.750
Tl 0.500 0.500 0.500
In 0.000 0.000 0.500
In 0.000 0.500 0.750
In 0.500 0.000 0.250
In 0.500 0.500 0.000
Os 0.246 0.250 0.625
Os 0.250 0.746 0.875
Os 0.250 0.754 0.375
Os 0.254 0.250 0.125
Os 0.746 0.750 0.125
Os 0.750 0.246 0.375
Os 0.750 0.254 0.875
Os 0.754 0.750 0.625

Energy above the lowest structure with this stoichiometry, meV per atom: 935
Formation enthalpy at 0 K, eV per atom: 1.35

=====

# 12
Density functional theory data (GGA-PBE) for TbY2Er12 after structural relaxation.

Unit cell a=3.601 b=5.619 c=23.253 alpha=90.00 beta=94.41 gamma=90.00
Atoms (fractional coordinates):
Tb 0.000 0.000 0.000
Y 0.142 0.000 0.285
Y 0.858 0.000 0.715
Er 0.097 0.500 0.193
Er 0.221 0.500 0.443
Er 0.288 0.000 0.574
Er 0.339 0.500 0.677
Er 0.428 0.000 0.853
Er 0.463 0.500 0.933
Er 0.537 0.500 0.067
Er 0.572 0.000 0.147
Er 0.661 0.500 0.323
Er 0.712 0.000 0.426
Er 0.779 0.500 0.557
Er 0.903 0.500 0.807

Formation enthalpy at 0 K, eV per atom: 0.07